# Li4GaPd5, optimized geometry, DFT PBE
# - Total magnetization: 0.000 μB/atom
# - Distance to the lowest polymorph of the same formula: 0.0 kJ per mole of atoms
# - VASP energy: -41.64 eV per cell
# - Formation energy from the elements: -0.499 eV/atom
data_Li4GaPd5
_chemical_formula_sum 'Li4 Ga1 Pd5'
_cell_length_a 3.032
_cell_length_b 3.032
_cell_length_c 14.894
_cell_angle_alpha 90.00
_cell_angle_beta 90.00
_cell_angle_gamma 90.00
_space_group_name_H-M_alt 'P 4/m m m'
_space_group_IT_number 123
_space_group_name_Hall '-P 4 2'
loop_
_atom_site_label
_atom_site_type_symbol
_atom_site_fract_x
_atom_site_fract_y
_atom_site_fract_z
Li1 Li 0.000 0.000 0.098
Li2 Li 0.000 0.000 0.293
Ga1 Ga 0.000 0.000 0.500
Pd1 Pd 0.500 0.500 0.000
Pd2 Pd 0.500 0.500 0.198
Pd3 Pd 0.500 0.500 0.399

---

# LiTbPrOs, optimized geometry, DFT PBE
# - Total magnetization: 0.000 μB/atom
# - VASP energy: -92.13 eV per cell
# - Formation energy from the elements: -0.120 eV/atom
data_LiTbPrOs
_chemical_formula_sum 'Li4 Tb4 Pr4 Os4'
_cell_length_a 7.082
_cell_length_b 7.082
_cell_length_c 7.082
_cell_angle_alpha 90.00
_cell_angle_beta 90.00
_cell_angle_gamma 90.00
_space_group_name_H-M_alt 'F -4 3 m'
_space_group_IT_number 216
_space_group_name_Hall 'F -4 2 3'
loop_
_atom_site_label
_atom_site_type_symbol
_atom_site_fract_x
_atom_site_fract_y
_atom_site_fract_z
Li1 Li 0.000 0.000 0.000
Tb1 Tb 0.250 0.250 0.750
Pr1 Pr 0.250 0.250 0.250
Os1 Os 0.000 0.000 0.500

---

# ScRe2Au, optimized geometry, DFT PBE
# - Total magnetization: 0.000 μB/atom
# - Distance to the lowest polymorph of the same formula: 20.9 kJ per mole of atoms
# - VASP energy: -102.40 eV per cell
# - Formation energy from the elements: 0.093 eV/atom
data_ScRe2Au
_chemical_formula_sum 'Sc3 Re6 Au3'
_cell_length_a 2.9158
_cell_length_b 2.9158
_cell_length_c 27.6980
_cell_angle_alpha 90.00
_cell_angle_beta 90.00
_cell_angle_gamma 120.00
_space_group_name_H-M_alt 'R 3 m'
_space_group_IT_number 160
_space_group_name_Hall 'R 3 -2"'
loop_
_atom_site_label
_atom_site_type_symbol
_atom_site_fract_x
_atom_site_fract_y
_atom_site_fract_z
Sc1 Sc 0.0000 0.0000 0.0000
Re1 Re 0.0000 0.0000 0.2493
Re2 Re 0.0000 0.0000 0.5087
Au1 Au 0.0000 0.0000 0.7532

---

What did the second record say?
# LiTbPrOs, optimized geometry, DFT PBE
# - Total magnetization: 0.000 μB/atom
# - VASP energy: -92.13 eV per cell
# - Formation energy from the elements: -0.120 eV/atom
data_LiTbPrOs
_chemical_formula_sum 'Li4 Tb4 Pr4 Os4'
_cell_length_a 7.082
_cell_length_b 7.082
_cell_length_c 7.082
_cell_angle_alpha 90.00
_cell_angle_beta 90.00
_cell_angle_gamma 90.00
_space_group_name_H-M_alt 'F -4 3 m'
_space_group_IT_number 216
_space_group_name_Hall 'F -4 2 3'
loop_
_atom_site_label
_atom_site_type_symbol
_atom_site_fract_x
_atom_site_fract_y
_atom_site_fract_z
Li1 Li 0.000 0.000 0.000
Tb1 Tb 0.250 0.250 0.750
Pr1 Pr 0.250 0.250 0.250
Os1 Os 0.000 0.000 0.500

---

Q: What is the formula in the second record?
A: LiTbPrOs

---

What did the first record say?
# Li4GaPd5, optimized geometry, DFT PBE
# - Total magnetization: 0.000 μB/atom
# - Distance to the lowest polymorph of the same formula: 0.0 kJ per mole of atoms
# - VASP energy: -41.64 eV per cell
# - Formation energy from the elements: -0.499 eV/atom
data_Li4GaPd5
_chemical_formula_sum 'Li4 Ga1 Pd5'
_cell_length_a 3.032
_cell_length_b 3.032
_cell_length_c 14.894
_cell_angle_alpha 90.00
_cell_angle_beta 90.00
_cell_angle_gamma 90.00
_space_group_name_H-M_alt 'P 4/m m m'
_space_group_IT_number 123
_space_group_name_Hall '-P 4 2'
loop_
_atom_site_label
_atom_site_type_symbol
_atom_site_fract_x
_atom_site_fract_y
_atom_site_fract_z
Li1 Li 0.000 0.000 0.098
Li2 Li 0.000 0.000 0.293
Ga1 Ga 0.000 0.000 0.500
Pd1 Pd 0.500 0.500 0.000
Pd2 Pd 0.500 0.500 0.198
Pd3 Pd 0.500 0.500 0.399

---

Q: Look up the total magnetization of the second one.
A: 0.000 μB/atom